VASP calculation (PBE+U) on a geometry-optimized Mn2Sn3O8 structure.

```
Mn2Sn3O8
1.0
5.250 -3.147 0.000
5.250 3.147 0.000
-1.152 0.000 5.334
Mn Sn O
2 3 8
direct
0.205 0.205 0.091 Mn
0.795 0.795 0.909 Mn
0.243 0.757 0.500 Sn
0.500 0.500 0.000 Sn
0.757 0.243 0.500 Sn
0.105 0.105 0.384 O
0.156 0.606 0.132 O
0.394 0.844 0.868 O
0.398 0.398 0.629 O
0.602 0.602 0.371 O
0.606 0.156 0.132 O
0.844 0.394 0.868 O
0.895 0.895 0.616 O
```

Calculated values
For the raw total energy, the calculation gives -6.75 eV/atom. For the total magnetic moment, the calculation gives 10.000 μB/f.u. The space-group type is No. 12.